Arrangement one

{"formula": "ErPdNO", "functional": "GGA-PBE", "state": "optimized geometry", "cell": [[5.4982, 0.0000, 0.0000], [0.0000, 7.5826, 0.0000], [0.0000, 0.0000, 5.3872]], "species": ["Er", "Er", "Er", "Er", "Pd", "Pd", "Pd", "Pd", "N", "N", "N", "N", "O", "O", "O", "O"], "frac_coords": [[0.0364, 0.1384, 0.0000], [0.4636, 0.1384, 0.5000], [0.5364, 0.8616, 0.0000], [0.9636, 0.8616, 0.5000], [0.0598, 0.4672, 0.6395], [0.4402, 0.4672, 0.1395], [0.5598, 0.5328, 0.6395], [0.9402, 0.5328, 0.1395], [0.1431, 0.3431, 0.3203], [0.3569, 0.3431, 0.8203], [0.6431, 0.6569, 0.3203], [0.8569, 0.6569, 0.8203], [0.2483, 0.9666, 0.2442], [0.2517, 0.9666, 0.7442], [0.7483, 0.0334, 0.2442], [0.7517, 0.0334, 0.7442]], "crystal_system": "orthorhombic", "density_g_cm3": 9.0, "m_tot_mub_per_cell": 0.00}



Arrangement two

{"formula": "ErPdNO", "functional": "GGA-PBE", "state": "optimized geometry", "cell": [[3.6978, 0.0000, 0.0000], [0.0000, 5.9792, 0.0000], [0.0000, 0.0000, 5.4245]], "species": ["Er", "Er", "Pd", "Pd", "N", "N", "O", "O"], "frac_coords": [[0.0000, 0.2127, 0.0000], [0.0000, 0.7873, 0.5000], [0.5000, 0.2353, 0.5094], [0.5000, 0.7647, 0.0094], [0.0000, 0.1584, 0.4165], [0.0000, 0.8416, 0.9165], [0.5000, 0.3622, 0.8880], [0.5000, 0.6378, 0.3880]], "crystal_system": "orthorhombic", "density_g_cm3": 8.4, "m_tot_mub_per_cell": 0.58}



Arrangement three

{"formula": "ErPdNO", "functional": "GGA-PBE", "state": "optimized geometry", "cell": [[4.1167, 0.0000, 0.0000], [0.0000, 7.0046, 0.0000], [0.0000, 0.0000, 4.2536]], "species": ["Er", "Er", "Pd", "Pd", "N", "N", "O", "O"], "frac_coords": [[0.0000, 0.1885, 0.0000], [0.0000, 0.8115, 0.5000], [0.5000, 0.3851, 0.4953], [0.5000, 0.6149, 0.9953], [0.5000, 0.3241, 0.9942], [0.5000, 0.6759, 0.4942], [0.0000, 0.1241, 0.5002], [0.0000, 0.8759, 0.0002]], "crystal_system": "orthorhombic", "density_g_cm3": 8.2, "m_tot_mub_per_cell": 0.00}



Arrangement four

{"formula": "ErPdNO", "functional": "GGA-PBE", "state": "optimized geometry", "cell": [[4.7649, 0.0000, 0.0000], [0.0000, 4.7649, 0.0000], [0.0000, 0.0000, 4.4485]], "species": ["Er", "Er", "Pd", "Pd", "N", "N", "O", "O"], "frac_coords": [[0.2500, 0.7500, 0.0000], [0.7500, 0.2500, 0.0000], [0.2500, 0.2500, 0.4993], [0.7500, 0.7500, 0.5007], [0.2500, 0.2500, 0.9986], [0.7500, 0.7500, 0.0014], [0.2500, 0.7500, 0.5000], [0.7500, 0.2500, 0.5000]], "crystal_system": "tetragonal", "density_g_cm3": 10.0, "m_tot_mub_per_cell": 0.00}



Energy above the most stable structure, in kJ/mol of atoms: arrangement one 0.0; arrangement two 41.2; arrangement three 17.3; arrangement four 31.1



Arrangement one

{"formula": "PmErNO", "functional": "GGA-PBE", "state": "optimized geometry", "cell": [[8.1272, 0.0000, 0.0000], [0.0000, 6.7053, 0.0000], [0.0000, 0.0000, 4.9684]], "species": ["Pm", "Pm", "Pm", "Pm", "Er", "Er", "Er", "Er", "N", "N", "N", "N", "O", "O", "O", "O"], "frac_coords": [[0.1254, 0.0689, 0.2500], [0.1254, 0.4311, 0.7500], [0.8746, 0.5689, 0.2500], [0.8746, 0.9311, 0.7500], [0.3779, 0.5854, 0.2500], [0.3779, 0.9146, 0.7500], [0.6221, 0.0854, 0.2500], [0.6221, 0.4146, 0.7500], [0.3832, 0.5788, 0.7500], [0.3832, 0.9212, 0.2500], [0.6168, 0.0788, 0.7500], [0.6168, 0.4212, 0.2500], [0.1440, 0.0867, 0.7500], [0.1440, 0.4133, 0.2500], [0.8560, 0.5867, 0.7500], [0.8560, 0.9133, 0.2500]], "crystal_system": "orthorhombic", "density_g_cm3": 8.4, "m_tot_mub_per_cell": 0.01}



Arrangement two

{"formula": "PmErNO", "functional": "GGA-PBE", "state": "optimized geometry", "cell": [[4.0163, 0.0000, 0.0000], [0.0000, 6.9408, 0.0000], [0.0000, 0.0000, 4.9644]], "species": ["Pm", "Pm", "Er", "Er", "N", "N", "O", "O"], "frac_coords": [[0.0000, 0.1623, 0.0000], [0.0000, 0.8377, 0.5000], [0.5000, 0.3286, 0.5002], [0.5000, 0.6714, 0.0002], [0.0000, 0.1805, 0.5005], [0.0000, 0.8195, 0.0005], [0.5000, 0.3499, 0.9984], [0.5000, 0.6501, 0.4984]], "crystal_system": "orthorhombic", "density_g_cm3": 8.2, "m_tot_mub_per_cell": 0.01}



Arrangement three

{"formula": "PmErNO", "functional": "GGA-PBE", "state": "optimized geometry", "cell": [[4.9415, 0.0000, 0.0000], [0.0000, 4.9415, 0.0000], [0.0000, 0.0000, 4.8542]], "species": ["Pm", "Pm", "Er", "Er", "N", "N", "O", "O"], "frac_coords": [[0.2500, 0.7500, 0.0000], [0.7500, 0.2500, 0.0000], [0.2500, 0.2500, 0.4996], [0.7500, 0.7500, 0.5004], [0.2500, 0.2500, 0.0011], [0.7500, 0.7500, 0.9989], [0.2500, 0.7500, 0.5000], [0.7500, 0.2500, 0.5000]], "crystal_system": "tetragonal", "density_g_cm3": 9.6, "m_tot_mub_per_cell": 0.01}



Energy above the most stable structure, in kJ/mol of atoms: arrangement one 2.6; arrangement two 5.8; arrangement three 0.0



Arrangement one

{"formula": "PmErNO", "functional": "GGA-PBE", "state": "optimized geometry", "cell": [[8.1533, 0.0000, 0.0000], [0.0000, 6.6496, 0.0000], [0.0000, 0.0000, 5.0521]], "species": ["Pm", "Pm", "Pm", "Pm", "Er", "Er", "Er", "Er", "N", "N", "N", "N", "O", "O", "O", "O"], "frac_coords": [[0.1299, 0.0793, 0.2500], [0.1299, 0.4207, 0.7500], [0.8701, 0.5793, 0.2500], [0.8701, 0.9207, 0.7500], [0.3806, 0.5737, 0.2500], [0.3806, 0.9263, 0.7500], [0.6194, 0.0737, 0.2500], [0.6194, 0.4263, 0.7500], [0.1351, 0.0612, 0.7500], [0.1351, 0.4388, 0.2500], [0.8649, 0.5612, 0.7500], [0.8649, 0.9388, 0.2500], [0.3825, 0.5973, 0.7500], [0.3825, 0.9027, 0.2500], [0.6175, 0.0973, 0.7500], [0.6175, 0.4027, 0.2500]], "crystal_system": "orthorhombic", "density_g_cm3": 8.3, "m_tot_mub_per_cell": 0.01}



Arrangement two

{"formula": "PmErNO", "functional": "GGA-PBE", "state": "optimized geometry", "cell": [[4.4091, 0.0000, 0.0000], [0.0000, 4.4091, 0.0000], [0.0000, 0.0000, 8.2551]], "species": ["Pm", "Pm", "Er", "Er", "N", "N", "O", "O"], "frac_coords": [[0.2500, 0.2500, 0.1047], [0.7500, 0.7500, 0.8953], [0.2500, 0.7500, 0.5000], [0.7500, 0.2500, 0.5000], [0.2500, 0.2500, 0.5682], [0.7500, 0.7500, 0.4318], [0.2500, 0.7500, 0.0000], [0.7500, 0.2500, 0.0000]], "crystal_system": "tetragonal", "density_g_cm3": 7.1, "m_tot_mub_per_cell": 0.00}



Arrangement three

{"formula": "PmErNO", "functional": "GGA-PBE", "state": "optimized geometry", "cell": [[4.9211, 0.0000, 0.0000], [0.0000, 4.0166, 0.0000], [0.0000, 0.0000, 6.9533]], "species": ["Pm", "Pm", "Er", "Er", "N", "N", "O", "O"], "frac_coords": [[0.2500, 0.0000, 0.1641], [0.7500, 0.0000, 0.8359], [0.2500, 0.5000, 0.6656], [0.7500, 0.5000, 0.3344], [0.2500, 0.5000, 0.3448], [0.7500, 0.5000, 0.6552], [0.2500, 0.0000, 0.8072], [0.7500, 0.0000, 0.1928]], "crystal_system": "orthorhombic", "density_g_cm3": 8.3, "m_tot_mub_per_cell": 0.00}



Energy above the most stable structure, in kJ/mol of atoms: arrangement one 7.6; arrangement two 36.5; arrangement three 0.0



Arrangement one

{"formula": "RbErNO", "functional": "GGA-PBE", "state": "optimized geometry", "cell": [[3.6460, 0.0000, 0.0000], [0.0000, 7.4589, 0.0000], [0.0000, 0.0000, 6.6570]], "species": ["Rb", "Rb", "Er", "Er", "N", "N", "O", "O"], "frac_coords": [[0.0000, 0.1796, 0.0000], [0.0000, 0.8204, 0.5000], [0.5000, 0.3300, 0.4909], [0.5000, 0.6700, 0.9909], [0.5000, 0.4242, 0.8049], [0.5000, 0.5758, 0.3049], [0.0000, 0.1878, 0.4373], [0.0000, 0.8122, 0.9373]], "crystal_system": "orthorhombic", "density_g_cm3": 5.2, "m_tot_mub_per_cell": 2.00}



Arrangement two

{"formula": "RbErNO", "functional": "GGA-PBE", "state": "optimized geometry", "cell": [[4.0204, 0.0000, 0.0000], [0.0000, 4.0204, 0.0000], [0.0000, 0.0000, 8.8553]], "species": ["Rb", "Rb", "Er", "Er", "N", "N", "O", "O"], "frac_coords": [[0.2500, 0.7500, 0.0000], [0.7500, 0.2500, 0.0000], [0.2500, 0.2500, 0.3878], [0.7500, 0.7500, 0.6122], [0.2500, 0.2500, 0.7794], [0.7500, 0.7500, 0.2206], [0.2500, 0.7500, 0.5000], [0.7500, 0.2500, 0.5000]], "crystal_system": "tetragonal", "density_g_cm3": 6.6, "m_tot_mub_per_cell": 2.00}



Arrangement three

{"formula": "RbErNO", "functional": "GGA-PBE", "state": "optimized geometry", "cell": [[6.6189, 0.0000, 0.0000], [0.0000, 9.2300, 0.0000], [0.0000, 0.0000, 6.0638]], "species": ["Rb", "Rb", "Rb", "Rb", "Er", "Er", "Er", "Er", "N", "N", "N", "N", "O", "O", "O", "O"], "frac_coords": [[0.0607, 0.1265, 0.0000], [0.4393, 0.1265, 0.5000], [0.5607, 0.8735, 0.0000], [0.9393, 0.8735, 0.5000], [0.0921, 0.5964, 0.9483], [0.4079, 0.5964, 0.4483], [0.5921, 0.4036, 0.9483], [0.9079, 0.4036, 0.4483], [0.0022, 0.8154, 0.0183], [0.4978, 0.8154, 0.5183], [0.5022, 0.1846, 0.0183], [0.9978, 0.1846, 0.5183], [0.1188, 0.5502, 0.5991], [0.3812, 0.5502, 0.0991], [0.6188, 0.4498, 0.5991], [0.8812, 0.4498, 0.0991]], "crystal_system": "orthorhombic", "density_g_cm3": 5.1, "m_tot_mub_per_cell": 4.00}



Energy above the most stable structure, in kJ/mol of atoms: arrangement one 0.0; arrangement two 51.9; arrangement three 5.8



Arrangement one

{"formula": "RbErNO", "functional": "GGA-PBE", "state": "optimized geometry", "cell": [[3.8994, 0.0000, 0.0000], [0.0000, 7.5066, 0.0000], [0.0000, 0.0000, 6.3139]], "species": ["Rb", "Rb", "Er", "Er", "N", "N", "O", "O"], "frac_coords": [[0.0000, 0.1692, 0.0000], [0.0000, 0.8308, 0.5000], [0.5000, 0.3555, 0.5266], [0.5000, 0.6445, 0.0266], [0.0000, 0.2168, 0.4633], [0.0000, 0.7832, 0.9633], [0.5000, 0.4051, 0.8549], [0.5000, 0.5949, 0.3549]], "crystal_system": "orthorhombic", "density_g_cm3": 5.1, "m_tot_mub_per_cell": 2.00}



Arrangement two

{"formula": "RbErNO", "functional": "GGA-PBE", "state": "optimized geometry", "cell": [[4.5226, 0.0000, 0.0000], [0.0000, 4.5226, 0.0000], [0.0000, 0.0000, 9.8152]], "species": ["Rb", "Rb", "Er", "Er", "N", "N", "O", "O"], "frac_coords": [[0.2500, 0.2500, 0.1446], [0.7500, 0.7500, 0.8554], [0.2500, 0.7500, 0.5000], [0.7500, 0.2500, 0.5000], [0.2500, 0.2500, 0.5441], [0.7500, 0.7500, 0.4559], [0.2500, 0.7500, 0.0000], [0.7500, 0.2500, 0.0000]], "crystal_system": "tetragonal", "density_g_cm3": 4.7, "m_tot_mub_per_cell": 2.00}



Energy above the most stable structure, in kJ/mol of atoms: arrangement one 0.0; arrangement two 60.7



Arrangement one

{"formula": "ErSbNO", "functional": "GGA-PBE", "state": "optimized geometry", "cell": [[4.4553, 0.0000, 0.0000], [0.0000, 4.4553, 0.0000], [0.0000, 0.0000, 7.2704]], "species": ["Er", "Er", "Sb", "Sb", "N", "N", "O", "O"], "frac_coords": [[0.2500, 0.2500, 0.1046], [0.7500, 0.7500, 0.8954], [0.2500, 0.7500, 0.5000], [0.7500, 0.2500, 0.5000], [0.2500, 0.2500, 0.4083], [0.7500, 0.7500, 0.5917], [0.2500, 0.7500, 0.0000], [0.7500, 0.2500, 0.0000]], "crystal_system": "tetragonal", "density_g_cm3": 7.3, "m_tot_mub_per_cell": 0.01}



Arrangement two

{"formula": "ErSbNO", "functional": "GGA-PBE", "state": "optimized geometry", "cell": [[5.5006, 0.0000, 0.0000], [0.0000, 8.0387, 0.0000], [0.0000, 0.0000, 5.7769]], "species": ["Er", "Er", "Er", "Er", "Sb", "Sb", "Sb", "Sb", "N", "N", "N", "N", "O", "O", "O", "O"], "frac_coords": [[0.0121, 0.1266, 0.0000], [0.4879, 0.1266, 0.5000], [0.5121, 0.8734, 0.0000], [0.9879, 0.8734, 0.5000], [0.0217, 0.3695, 0.5112], [0.4783, 0.3695, 0.0112], [0.5217, 0.6305, 0.5112], [0.9783, 0.6305, 0.0112], [0.1437, 0.6079, 0.5177], [0.3563, 0.6079, 0.0177], [0.6437, 0.3921, 0.5177], [0.8563, 0.3921, 0.0177], [0.2490, 0.9832, 0.2494], [0.2510, 0.9832, 0.7494], [0.7490, 0.0168, 0.2494], [0.7510, 0.0168, 0.7494]], "crystal_system": "orthorhombic", "density_g_cm3": 8.3, "m_tot_mub_per_cell": 0.00}



Arrangement three

{"formula": "ErSbNO", "functional": "GGA-PBE", "state": "optimized geometry", "cell": [[4.8704, 0.0000, 0.0000], [0.0000, 4.8704, 0.0000], [0.0000, 0.0000, 5.0026]], "species": ["Er", "Er", "Sb", "Sb", "N", "N", "O", "O"], "frac_coords": [[0.2500, 0.7500, 0.0000], [0.7500, 0.2500, 0.0000], [0.2500, 0.2500, 0.4990], [0.7500, 0.7500, 0.5010], [0.2500, 0.2500, 0.9157], [0.7500, 0.7500, 0.0843], [0.2500, 0.7500, 0.5000], [0.7500, 0.2500, 0.5000]], "crystal_system": "tetragonal", "density_g_cm3": 8.9, "m_tot_mub_per_cell": 0.00}



Energy above the most stable structure, in kJ/mol of atoms: arrangement one 30.5; arrangement two 0.0; arrangement three 39.3



Arrangement one

{"formula": "ErSbNO", "functional": "GGA-PBE", "state": "optimized geometry", "cell": [[3.7637, 0.0000, 0.0000], [0.0000, 6.3972, 0.0000], [0.0000, 0.0000, 6.3044]], "species": ["Er", "Er", "Sb", "Sb", "N", "N", "O", "O"], "frac_coords": [[0.0000, 0.1896, 0.0000], [0.0000, 0.8104, 0.5000], [0.5000, 0.3297, 0.5840], [0.5000, 0.6703, 0.0840], [0.5000, 0.3807, 0.9296], [0.5000, 0.6193, 0.4296], [0.0000, 0.0667, 0.3018], [0.0000, 0.9333, 0.8018]], "crystal_system": "orthorhombic", "density_g_cm3": 7.0, "m_tot_mub_per_cell": 0.00}



Arrangement two

{"formula": "ErSbNO", "functional": "GGA-PBE", "state": "optimized geometry", "cell": [[3.6134, 0.0000, 0.0000], [0.0000, 6.6909, 0.0000], [0.0000, 0.0000, 5.6850]], "species": ["Er", "Er", "Sb", "Sb", "N", "N", "O", "O"], "frac_coords": [[0.0000, 0.1510, 0.0000], [0.0000, 0.8490, 0.5000], [0.5000, 0.3520, 0.4815], [0.5000, 0.6480, 0.9815], [0.0000, 0.1755, 0.4021], [0.0000, 0.8245, 0.9021], [0.5000, 0.1798, 0.8012], [0.5000, 0.8202, 0.3012]], "crystal_system": "orthorhombic", "density_g_cm3": 7.7, "m_tot_mub_per_cell": 0.00}



Arrangement three

{"formula": "ErSbNO", "functional": "GGA-PBE", "state": "optimized geometry", "cell": [[6.7284, 0.0000, 0.0000], [0.0000, 7.2787, 0.0000], [0.0000, 0.0000, 5.4405]], "species": ["Er", "Er", "Er", "Er", "Sb", "Sb", "Sb", "Sb", "N", "N", "N", "N", "O", "O", "O", "O"], "frac_coords": [[0.0877, 0.1481, 0.0000], [0.4123, 0.1481, 0.5000], [0.5877, 0.8519, 0.0000], [0.9123, 0.8519, 0.5000], [0.1210, 0.6774, 0.0053], [0.3790, 0.6774, 0.5053], [0.6210, 0.3226, 0.0053], [0.8790, 0.3226, 0.5053], [0.0889, 0.1130, 0.5812], [0.4111, 0.1130, 0.0812], [0.5889, 0.8870, 0.5812], [0.9111, 0.8870, 0.0812], [0.0608, 0.4104, 0.2084], [0.4392, 0.4104, 0.7084], [0.5608, 0.5896, 0.2084], [0.9392, 0.5896, 0.7084]], "crystal_system": "orthorhombic", "density_g_cm3": 8.0, "m_tot_mub_per_cell": 0.01}



Energy above the most stable structure, in kJ/mol of atoms: arrangement one 0.0; arrangement two 4.2; arrangement three 8.6